A geometry-optimized Cs3DyY2S6 structure. Source: Alexandria, functional PBE-GGA.

a b c (Å): 7.118 7.118 8.407
angles (deg): 98.11 98.11 120.00
Element x y z (fractional)
Cs  0.000  0.000  0.000
Cs  0.333  0.667  0.000
Cs  0.667  0.333  0.000
Dy  0.500  0.500  0.500
Y  0.167  0.833  0.500
Y  0.833  0.167  0.500
S  0.107  0.439  0.318
S  0.228  0.228  0.682
S  0.439  0.107  0.318
S  0.561  0.893  0.682
S  0.772  0.772  0.318
S  0.893  0.561  0.682

Results
* DFT total energy: -66.89 eV per cell
* magnetic moment: 0.000 μB/atom
* N(E_F): 0.000 states/eV/atom
* formation energy without anion corrections: -1.8366 eV per atom